! Al3CoMo | the Alexandria database | GGA-PBE | relaxed; values from VASP
! Crystal system   cubic
! Symmetry   Pm-3m
! ΔE to the lowest computed polymorph   0.00 kJ/mol of atoms
&SYSTEM
  ibrav = 0, nat = 5, ntyp = 3
/
ATOMIC_SPECIES
Al 26.98 Al.upf
Co 58.93 Co.upf
Mo 95.94 Mo.upf
CELL_PARAMETERS angstrom
4.364 0.000 0.000
0.000 4.364 0.000
0.000 0.000 4.364
ATOMIC_POSITIONS crystal
Al 0.000 0.000 0.500
Al 0.000 0.500 0.000
Al 0.500 0.000 0.000
Co 0.000 0.000 0.000
Mo 0.500 0.500 0.500

=====

! AlCoMo2 | the Alexandria database | GGA-PBE | relaxed; values from VASP
! Crystal system   orthorhombic
! Symmetry   Pmmm
&SYSTEM
  ibrav = 0, nat = 4, ntyp = 3
/
ATOMIC_SPECIES
Al 26.98 Al.upf
Co 58.93 Co.upf
Mo 95.94 Mo.upf
CELL_PARAMETERS angstrom
2.708 0.000 0.000
0.000 4.064 0.000
0.000 0.000 5.154
ATOMIC_POSITIONS crystal
Al 0.000 0.000 0.000
Co 0.000 0.000 0.500
Mo 0.500 0.500 0.254
Mo 0.500 0.500 0.746

=====

! AlCoMo2 | the Alexandria database | GGA-PBE | relaxed; values from VASP
! Crystal system   orthorhombic
! Symmetry   Pmmm
&SYSTEM
  ibrav = 0, nat = 4, ntyp = 3
/
ATOMIC_SPECIES
Al 26.98 Al.upf
Co 58.93 Co.upf
Mo 95.94 Mo.upf
CELL_PARAMETERS angstrom
3.191 0.000 0.000
0.000 4.098 0.000
0.000 0.000 4.328
ATOMIC_POSITIONS crystal
Al 0.000 0.000 0.000
Co 0.500 0.500 0.000
Mo 0.000 0.500 0.500
Mo 0.500 0.000 0.500

=====

! AlCoMo2 | the Alexandria database | GGA-PBE | relaxed; values from VASP
! Crystal system   tetragonal
! Symmetry   I-42d
&SYSTEM
  ibrav = 0, nat = 8, ntyp = 3
/
ATOMIC_SPECIES
Al 26.98 Al.upf
Co 58.93 Co.upf
Mo 95.94 Mo.upf
CELL_PARAMETERS angstrom
-3.449 3.449 2.564
3.449 -3.449 2.564
3.449 3.449 -2.564
ATOMIC_POSITIONS crystal
Al 0.000 0.000 0.000
Al 0.750 0.250 0.500
Co 0.250 0.750 0.500
Co 0.500 0.500 0.000
Mo 0.156 0.125 0.531
Mo 0.375 0.844 0.969
Mo 0.594 0.625 0.469
Mo 0.875 0.406 0.031

=====

! AlCoMo2 | the Alexandria database | GGA-PBE | relaxed; values from VASP
! Crystal system   tetragonal
! Symmetry   I4/mmm
&SYSTEM
  ibrav = 0, nat = 4, ntyp = 3
/
ATOMIC_SPECIES
Al 26.98 Al.upf
Co 58.93 Co.upf
Mo 95.94 Mo.upf
CELL_PARAMETERS angstrom
-1.830 1.830 4.209
1.830 -1.830 4.209
1.830 1.830 -4.209
ATOMIC_POSITIONS crystal
Al 0.000 0.000 0.000
Co 0.500 0.500 0.000
Mo 0.250 0.750 0.500
Mo 0.750 0.250 0.500

=====

! AlCoMo | the Alexandria database | GGA-PBE | relaxed; values from VASP
! Crystal system   trigonal
! Symmetry   P3m1
&SYSTEM
  ibrav = 0, nat = 3, ntyp = 3
/
ATOMIC_SPECIES
Al 26.98 Al.upf
Co 58.93 Co.upf
Mo 95.94 Mo.upf
CELL_PARAMETERS angstrom
4.151 0.000 0.000
-2.075 3.595 0.000
0.000 0.000 2.715
ATOMIC_POSITIONS crystal
Al 0.000 0.000 0.000
Co 0.667 0.333 0.129
Mo 0.333 0.667 0.529

=====

These records have ΔH_f (0 K) values of 0.39, -0.06, -0.09, 0.40, -0.12, -0.12 eV per atom, in the order they appear.
These records have total magnetization values of 2.8, 0.8, 0.0, 0.0, 0.0, 0.0 Bohr magnetons per cell, in the order they appear.